# YScAg2S4 | the Alexandria database | GGA-PBE | optimized geometry
data_YScAg2S4
_chemical_formula_sum 'Y1 Sc1 Ag2 S4'
_cell_length_a 6.7878
_cell_length_b 3.9039
_cell_length_c 6.8604
_cell_angle_alpha 90.00
_cell_angle_beta 113.55
_cell_angle_gamma 90.00
_symmetry_space_group_name_H-M 'P 1'
_symmetry_Int_Tables_number 1
loop_
_symmetry_equiv_pos_as_xyz
'x,y,z'
loop_
_atom_site_label
_atom_site_type_symbol
_atom_site_fract_x
_atom_site_fract_y
_atom_site_fract_z
Y1 Y 0.0000 0.0000 0.0000
Sc1 Sc 0.5000 0.5000 0.0000
Ag1 Ag 0.0000 0.5000 0.5000
Ag2 Ag 0.5000 0.0000 0.5000
S1 S 0.2514 0.0000 0.7699
S2 S 0.2741 0.5000 0.2309
S3 S 0.7259 0.5000 0.7691
S4 S 0.7486 0.0000 0.2301
# * DFT total energy: -44.72 eV for the cell shown
# * V: 166.7 Å³/cell



# YSc2Ag3S6 | the Alexandria database | GGA-PBE | optimized geometry
data_YSc2Ag3S6
_chemical_formula_sum 'Y1 Sc2 Ag3 S6'
_cell_length_a 7.9465
_cell_length_b 7.9465
_cell_length_c 9.4512
_cell_angle_alpha 108.38
_cell_angle_beta 108.38
_cell_angle_gamma 28.21
_symmetry_space_group_name_H-M 'P 1'
_symmetry_Int_Tables_number 1
loop_
_symmetry_equiv_pos_as_xyz
'x,y,z'
loop_
_atom_site_label
_atom_site_type_symbol
_atom_site_fract_x
_atom_site_fract_y
_atom_site_fract_z
Y1 Y 0.0000 0.0000 0.0000
Sc1 Sc 0.3306 0.3306 0.6615
Sc2 Sc 0.6694 0.6694 0.3385
Ag1 Ag 0.0000 0.0000 0.5000
Ag2 Ag 0.3252 0.3252 0.0765
Ag3 Ag 0.6748 0.6748 0.9235
S1 S 0.1588 0.1588 0.5127
S2 S 0.1863 0.1863 0.1562
S3 S 0.4943 0.4943 0.2009
S4 S 0.5057 0.5057 0.7991
S5 S 0.8136 0.8136 0.8438
S6 S 0.8412 0.8412 0.4873
# * DFT total energy: -67.15 eV for the cell shown
# * V: 266.8 Å³/cell



# Y3ScAg4S8 | the Alexandria database | GGA-PBE | optimized geometry
data_Y3ScAg4S8
_chemical_formula_sum 'Y3 Sc1 Ag4 S8'
_cell_length_a 8.0590
_cell_length_b 8.0590
_cell_length_c 9.0905
_cell_angle_alpha 119.34
_cell_angle_beta 119.34
_cell_angle_gamma 59.68
_symmetry_space_group_name_H-M 'P 1'
_symmetry_Int_Tables_number 1
loop_
_symmetry_equiv_pos_as_xyz
'x,y,z'
loop_
_atom_site_label
_atom_site_type_symbol
_atom_site_fract_x
_atom_site_fract_y
_atom_site_fract_z
Y1 Y 0.0000 0.0000 0.0000
Y2 Y 0.0000 0.5000 0.0000
Y3 Y 0.5000 0.0000 0.0000
Sc1 Sc 0.5000 0.5000 0.0000
Ag1 Ag 0.0000 0.0000 0.5000
Ag2 Ag 0.0000 0.5000 0.5000
Ag3 Ag 0.5000 0.0000 0.5000
Ag4 Ag 0.5000 0.5000 0.5000
S1 S 0.0963 0.0963 0.8112
S2 S 0.1123 0.5902 0.8143
S3 S 0.4095 0.4095 0.1869
S4 S 0.4098 0.8877 0.1857
S5 S 0.5902 0.1123 0.8143
S6 S 0.5905 0.5905 0.8131
S7 S 0.8877 0.4098 0.1857
S8 S 0.9037 0.9037 0.1888
# * DFT total energy: -90.62 eV for the cell shown
# * V: 420.5 Å³/cell



# ScZnAg2S | the Alexandria database | GGA-PBE | optimized geometry
data_ScZnAg2S
_chemical_formula_sum 'Sc1 Zn1 Ag2 S1'
_cell_length_a 5.1745
_cell_length_b 5.1745
_cell_length_c 5.2120
_cell_angle_alpha 90.00
_cell_angle_beta 90.00
_cell_angle_gamma 90.00
_symmetry_space_group_name_H-M 'P 1'
_symmetry_Int_Tables_number 1
loop_
_symmetry_equiv_pos_as_xyz
'x,y,z'
loop_
_atom_site_label
_atom_site_type_symbol
_atom_site_fract_x
_atom_site_fract_y
_atom_site_fract_z
Sc1 Sc 0.0000 0.0000 0.0000
Zn1 Zn 0.0000 0.0000 0.5000
Ag1 Ag 0.0000 0.5000 0.0000
Ag2 Ag 0.5000 0.0000 0.0000
S1 S 0.5000 0.5000 0.5000
# * DFT total energy: -12.12 eV for the cell shown
# * V: 139.6 Å³/cell